Entry 1:
Computed, not measured: a relaxed structure of NiPdSeBr2 at the PBE-GGA level of DFT.

Lattice parameters (Å, degrees): 4.9857 4.9857 4.7599 90.00 90.00 90.00
With the nearest neighbours (Å) after each atom.
Positions (direct):
Ni1 0.5000 0.5000 0.5000  8 Br 3.45, 4 Se 3.53
Se1 0.0000 0.0000 0.5000  2 Pd 2.38
Br1 0.0000 0.5000 0.0000  2 Pd 2.49
Br2 0.5000 0.0000 0.0000  2 Pd 2.49
Pd1 0.0000 0.0000 0.0000  2 Se 2.38, 4 Br 2.49

## Properties
The calculation puts the polymorph energy (0 for the lowest one) at 5.57 kcal/mol of atoms. As for the total magnetization: 0.306 μB per atom. The symmetry is P4/mmm. As for the density of states at the Fermi level: 1.408 states/eV per atom.

Entry 2:
Computed, not measured: a relaxed structure of Zn2NiPdBr at the PBE-GGA level of DFT.

Lattice parameters (Å, degrees): 4.6119 4.7486 4.6119 90.00 90.00 90.00
With the nearest neighbours (Å) after each atom.
Positions (direct):
Ni1 0.0000 0.0000 0.0000  4 Zn 2.31, 2 Br 2.37
Zn1 0.0000 0.0000 0.5000  2 Ni 2.31
Zn2 0.5000 0.0000 0.0000  2 Ni 2.31
Br1 0.0000 0.5000 0.0000  2 Ni 2.37
Pd1 0.5000 0.5000 0.5000  4 Br 3.26, 8 Zn 3.31

## Properties
As for the total magnetization: 0.000 μB per atom. The symmetry is P4/mmm. As for the density of states at the Fermi level: 0.397 states/eV per atom.

Entry 3:
Computed, not measured: a relaxed structure of Pm4Ni2Br5 at the PBE-GGA level of DFT.

Lattice parameters (Å, degrees): 3.9338 8.5274 10.4316 114.12 100.87 90.00
With the nearest neighbours (Å) after each atom.
Positions (direct):
Pm1 0.6922 0.6922 0.3843  1 Ni 2.48
Pm2 0.0000 0.2865 0.0000  4 Ni 2.90, 4 Br 3.14-3.18
Pm3 0.3078 0.3078 0.6157  1 Ni 2.48
Pm4 0.0000 0.7135 0.0000  4 Ni 2.90, 4 Br 3.14-3.18
Ni1 0.5589 0.5589 0.1179  1 Ni 2.20
Ni2 0.4411 0.4411 0.8821  1 Ni 2.20
Br1 0.1685 0.3932 0.3370  4 Pm 3.09-3.23
Br2 0.8315 0.6068 0.6630  4 Pm 3.09-3.23
Br3 0.1685 0.9438 0.3370  4 Pm 3.09-3.23
Br4 0.5000 0.0000 0.0000  4 Pm 3.14
Br5 0.8315 0.0562 0.6630  4 Pm 3.09-3.23

## Properties
The calculation puts the polymorph energy (0 for the lowest one) at 0.95 kcal/mol of atoms. As for the total magnetization: 0.072 μB per atom. The symmetry is Immm. As for the density of states at the Fermi level: 0.562 states/eV per atom.

Entry 4:
Computed, not measured: a relaxed structure of Pm3NiBr3 at the PBE-GGA level of DFT.

Lattice parameters (Å, degrees): 10.2678 10.2678 10.2678 109.47 109.47 109.47
With the nearest neighbours (Å) after each atom.
Positions (direct):
Pm1 0.9665 0.4832 0.2332  2 Ni 2.77, 2 Br 3.06
Pm2 0.5168 0.0335 0.2668  2 Ni 2.77, 2 Br 3.06
Pm3 0.2500 0.0168 0.4832  2 Ni 2.77, 2 Br 3.06
Pm4 0.9832 0.7500 0.0168  2 Ni 2.77, 2 Br 3.06
Pm5 0.9832 0.2332 0.4665  2 Ni 2.77, 2 Br 3.06
Pm6 0.7668 0.0168 0.0335  2 Ni 2.77, 2 Br 3.06
Pm7 0.7332 0.4665 0.4832  2 Ni 2.77, 2 Br 3.06
Pm8 0.7668 0.7500 0.2332  2 Ni 2.77, 2 Br 3.06
Pm9 0.5335 0.2668 0.0168  2 Ni 2.77, 2 Br 3.06
Pm10 0.2500 0.2332 0.2668  2 Ni 2.77, 2 Br 3.06
Pm11 0.7332 0.2668 0.7500  2 Ni 2.77, 2 Br 3.06
Pm12 0.5168 0.4832 0.7500  2 Ni 2.77, 2 Br 3.06
Ni1 0.7500 0.5000 0.0000  6 Pm 2.77
Ni2 0.5000 0.2500 0.5000  6 Pm 2.77
Ni3 0.7500 0.2500 0.2500  6 Pm 2.77
Ni4 0.0000 0.0000 0.2500  6 Pm 2.77
Br1 0.2433 0.9933 0.9866  4 Pm 3.06-3.18
Br2 0.7500 0.7567 0.7433  4 Pm 3.06-3.18
Br3 0.4866 0.7433 0.9933  4 Pm 3.06-3.18
Br4 0.0067 0.2500 0.9933  4 Pm 3.06-3.18
Br5 0.2567 0.7433 0.2500  4 Pm 3.06-3.18
Br6 0.4933 0.5067 0.2500  4 Pm 3.06-3.18
Br7 0.2433 0.2500 0.7567  4 Pm 3.06-3.18
Br8 0.2567 0.5134 0.5067  4 Pm 3.06-3.18
Br9 0.7500 0.9933 0.5067  4 Pm 3.06-3.18
Br10 0.0134 0.5067 0.7567  4 Pm 3.06-3.18
Br11 0.0067 0.7567 0.5134  4 Pm 3.06-3.18
Br12 0.4933 0.9866 0.7433  4 Pm 3.06-3.18

## Properties
As for the total magnetization: 0.000 μB per atom. The symmetry is I4_132. As for the density of states at the Fermi level: 0.631 states/eV per atom.

Result set for raw formation energy: 0.645; 0.425; -1.104; -1.232 eV/atom, one per record in the order listed.